Record 1
A plane-wave DFT calculation with PBE was carried out for a geometry-optimized Nd2Sn4Bi structure.

Lattice parameters (Å, degrees): 9.480 9.481 6.716 90.00 134.70 90.00
Space group C2/m (No. 12)
Asymmetric unit:
Nd 0.250 0.250 0.000 [4 per cell]
Sn 0.000 0.000 0.500 [2 per cell]
Sn 0.000 0.500 0.500 [2 per cell]
Sn 0.250 0.250 0.500 [4 per cell]
Bi 0.000 0.000 0.000 [2 per cell]

Values from the calculation:
Energy of formation from the pure elements = -0.418 eV per atom

Record 2
A plane-wave DFT calculation with PBE was carried out for a geometry-optimized Nd2Sn3Bi3 structure.

Lattice parameters (Å, degrees): 8.1361 8.1361 4.3087 90.00 90.00 120.00
Space group P-62m (No. 189)
Asymmetric unit:
Nd 0.3333 0.6667 0.0000 [2 per cell]
Sn 0.0000 0.2184 0.0000 [3 per cell]
Bi 0.0000 0.6376 0.5000 [3 per cell]

Values from the calculation:
Energy of formation from the pure elements = -0.379 eV per atom

Record 3
A plane-wave DFT calculation with PBE was carried out for a geometry-optimized NdSnBi structure.

Lattice parameters (Å, degrees): 4.653 17.186 4.507 90.00 90.00 90.00
Space group Cmcm (No. 63)
Asymmetric unit:
Nd 0.000 0.100 0.250 [4 per cell]
Sn 0.000 0.442 0.250 [4 per cell]
Bi 0.000 0.251 0.750 [4 per cell]

Values from the calculation:
Energy of formation from the pure elements = -0.676 eV per atom

Record 4
A plane-wave DFT calculation with PBE was carried out for a geometry-optimized Nd7Sn5Bi structure.

Lattice parameters (Å, degrees): 6.369 11.618 10.962 90.00 90.00 90.00
Space group Imm2 (No. 44)
Asymmetric unit:
Nd 0.000 0.000 0.000 [2 per cell]
Nd 0.000 0.000 0.396 [2 per cell]
Nd 0.000 0.330 0.624 [4 per cell]
Nd 0.000 0.338 0.107 [4 per cell]
Nd 0.000 0.500 0.353 [2 per cell]
Sn 0.000 0.500 0.860 [2 per cell]
Sn 0.249 0.255 0.370 [8 per cell]
Bi 0.000 0.000 0.688 [2 per cell]

Values from the calculation:
Energy of formation from the pure elements = -0.545 eV per atom

Record 5
A plane-wave DFT calculation with PBE was carried out for a geometry-optimized Nd4SnBi2 structure.

Lattice parameters (Å, degrees): 9.870 14.270 14.288 90.00 90.00 90.00
Space group Fddd (No. 70, origin choice 2)
Asymmetric unit:
Nd 0.063 0.280 0.470 [32 per cell]
Sn 0.125 0.125 0.625 [8 per cell]
Bi 0.000 0.000 0.000 [16 per cell]

Values from the calculation:
Energy of formation from the pure elements = -0.632 eV per atom

Record 6
A plane-wave DFT calculation with PBE was carried out for a geometry-optimized Nd8SnBi3Te4 structure.

Lattice parameters (Å, degrees): 9.1229 9.1229 22.2449 90.00 90.00 120.00
Space group R-3m (No. 166, hexagonal axes)
Asymmetric unit:
Nd 0.0000 0.0000 0.2492 [6 per cell]
Nd 0.0059 0.5030 0.2481 [18 per cell]
Sn 0.0000 0.0000 0.5000 [3 per cell]
Bi 0.0000 0.5000 0.5000 [9 per cell]
Te 0.0000 0.0000 0.0000 [3 per cell]
Te 0.0000 0.5000 0.0000 [9 per cell]

Values from the calculation:
Formation energy (no corrections) = -19.12 eV per formula unit

Record 7
A plane-wave DFT calculation with PBE was carried out for a geometry-optimized Nd4SnBiTe2 structure.

Lattice parameters (Å, degrees): 7.860 4.552 7.886 90.00 109.48 90.00
Space group P2/m (No. 10)
Asymmetric unit:
Nd 0.242 0.000 0.242 [2 per cell]
Nd 0.244 0.500 0.753 [2 per cell]
Sn 0.000 0.500 0.000 [1 per cell]
Bi 0.000 0.000 0.500 [1 per cell]
Te 0.500 0.000 0.000 [1 per cell]
Te 0.500 0.500 0.500 [1 per cell]

Values from the calculation:
Formation energy (no corrections) = -9.45 eV per formula unit

Record 8
A plane-wave DFT calculation with PBE was carried out for a geometry-optimized Nd6SnBi2Te3 structure.

Lattice parameters (Å, degrees): 19.835 4.558 9.091 90.00 103.04 90.00
Space group C2/m (No. 12)
Asymmetric unit:
Nd 0.000 0.000 0.241 [4 per cell]
Nd 0.162 0.500 0.082 [4 per cell]
Nd 0.167 0.500 0.582 [4 per cell]
Sn 0.000 0.500 0.000 [2 per cell]
Bi 0.167 0.000 0.334 [4 per cell]
Te 0.000 0.500 0.500 [2 per cell]
Te 0.168 0.000 0.833 [4 per cell]

Values from the calculation:
Formation energy (no corrections) = -14.26 eV per formula unit

Per-record VASP energy, eV/cell: -64.7 -36.2 -58.7 -128.7 -282.1 -256.4 -42.7 -128.1